Entry 1:
Here is an optimized crystal structure of GaBiPPt2 from the Alexandria database. Energies are from PBEsol.

Cell: 5.062 5.062 5.174 Å, 90.00 90.00 90.00°
Space group P4/mmm (No. 123)
Inequivalent atoms, fractional coordinates:
Ga1 0.000 0.000 0.000 x1
Bi1 0.500 0.500 0.500 x1
P1 0.500 0.500 0.000 x1
Pt1 0.000 0.500 0.500 x2

density of states at the Fermi level	3.23	states/eV per cell
DFT formation energy	1221	meV/atom

=====

Entry 2:
Here is an optimized crystal structure of GaBiPS2 from the Alexandria database. Energies are from PBEsol.

Cell: 4.655 4.655 4.683 Å, 90.00 90.00 90.00°
Space group P4/mmm (No. 123)
Inequivalent atoms, fractional coordinates:
Ga1 0.000 0.000 0.000 x1
Bi1 0.500 0.500 0.500 x1
P1 0.000 0.000 0.500 x1
S1 0.000 0.500 0.000 x2

distance to the lowest polymorph of the same formula	0	meV per atom
formation energy from raw total energies	232	meV/atom
density of states at the Fermi level	3.00	states/eV per cell

=====

Entry 3:
Here is an optimized crystal structure of GaBiPS2 from the Alexandria database. Energies are from PBEsol.

Cell: 5.226 5.226 5.226 Å, 90.00 90.00 90.00°
Space group P4/mmm (No. 123)
Inequivalent atoms, fractional coordinates:
Ga1 0.000 0.000 0.000 x1
Bi1 0.500 0.500 0.500 x1
P1 0.500 0.500 0.000 x1
S1 0.000 0.500 0.500 x2

distance to the lowest polymorph of the same formula	509	meV per atom
formation energy from raw total energies	741	meV/atom
density of states at the Fermi level	4.95	states/eV per cell

=====

Entry 4:
Here is an optimized crystal structure of GaBi2TeP from the Alexandria database. Energies are from PBEsol.

Cell: 5.743 5.743 5.294 Å, 90.00 90.00 90.00°
Space group P4/mmm (No. 123)
Inequivalent atoms, fractional coordinates:
Ga1 0.000 0.000 0.000 x1
Bi1 0.000 0.500 0.500 x2
Te1 0.000 0.000 0.500 x1
P1 0.500 0.500 0.000 x1

formation energy from raw total energies	1088	meV/atom
density of states at the Fermi level	4.23	states/eV per cell

=====

Entry 5:
Here is an optimized crystal structure of Ga2BiPb from the Alexandria database. Energies are from PBEsol.

Cell: 7.310 7.310 7.310 Å, 90.00 90.00 90.00°
Space group Fm-3m (No. 225)
Inequivalent atoms, fractional coordinates:
Ga1 0.250 0.250 0.250 x8
Bi1 0.000 0.000 0.000 x4
Pb1 0.000 0.000 0.500 x4

density of states at the Fermi level	8.26	states/eV per cell
DFT formation energy	87	meV/atom

=====

Entry 6:
Here is an optimized crystal structure of GaBiTePb2 from the Alexandria database. Energies are from PBEsol.

Cell: 5.928 5.928 5.110 Å, 90.00 90.00 90.00°
Space group P4/mmm (No. 123)
Inequivalent atoms, fractional coordinates:
Ga1 0.000 0.000 0.000 x1
Bi1 0.500 0.500 0.000 x1
Te1 0.000 0.000 0.500 x1
Pb1 0.000 0.500 0.500 x2

formation energy from raw total energies	468	meV/atom
density of states at the Fermi level	1.83	states/eV per cell

=====

Entry 7:
Here is an optimized crystal structure of Ga2BiPd2 from the Alexandria database. Energies are from PBEsol.

Cell: 4.233 4.233 10.245 Å, 90.00 90.00 90.00°
Space group I4/mmm (No. 139)
Inequivalent atoms, fractional coordinates:
Ga1 0.000 0.000 0.120 x4
Bi1 0.000 0.000 0.500 x2
Pd1 0.000 0.500 0.250 x4

density of states at the Fermi level	2.59	states/eV per cell
DFT formation energy	-348	meV/atom

=====

Entry 8:
Here is an optimized crystal structure of GaBi3Pt from the Alexandria database. Energies are from PBEsol.

Cell: 5.231 5.231 5.231 Å, 90.00 90.00 90.00°
Space group Pm-3m (No. 221)
Inequivalent atoms, fractional coordinates:
Ga1 0.000 0.000 0.000 x1
Bi1 0.000 0.000 0.500 x3
Pt1 0.500 0.500 0.500 x1

distance to the lowest polymorph of the same formula	501	meV per atom
density of states at the Fermi level	2.91	states/eV per cell
DFT formation energy	935	meV/atom

=====

Entry 9:
Here is an optimized crystal structure of GaBi3Pt from the Alexandria database. Energies are from PBEsol.

Cell: 5.408 5.408 5.408 Å, 90.00 90.00 90.00°
Space group Pm-3m (No. 221)
Inequivalent atoms, fractional coordinates:
Ga1 0.000 0.000 0.000 x1
Bi1 0.000 0.500 0.500 x3
Pt1 0.500 0.500 0.500 x1

distance to the lowest polymorph of the same formula	0	meV per atom
density of states at the Fermi level	4.19	states/eV per cell
DFT formation energy	434	meV/atom

=====

Entry 10:
Here is an optimized crystal structure of Rb2GaBiTe from the Alexandria database. Energies are from PBEsol.

Cell: 6.608 6.608 5.995 Å, 90.00 90.00 90.00°
Space group P4/mmm (No. 123)
Inequivalent atoms, fractional coordinates:
Rb1 0.000 0.500 0.000 x2
Ga1 0.000 0.000 0.500 x1
Bi1 0.500 0.500 0.500 x1
Te1 0.500 0.500 0.000 x1

formation energy from raw total energies	140	meV/atom
density of states at the Fermi level	3.76	states/eV per cell

=====

Entry 11:
Here is an optimized crystal structure of ScGaBiRh2 from the Alexandria database. Energies are from PBEsol.

Cell: 4.892 4.892 5.083 Å, 90.00 90.00 90.00°
Space group P4/mmm (No. 123)
Inequivalent atoms, fractional coordinates:
Sc1 0.000 0.000 0.000 x1
Ga1 0.500 0.500 0.000 x1
Bi1 0.500 0.500 0.500 x1
Rh1 0.000 0.500 0.500 x2

density of states at the Fermi level	6.88	states/eV per cell
DFT formation energy	894	meV/atom

=====

Entry 12:
Here is an optimized crystal structure of GaBiRu3 from the Alexandria database. Energies are from PBEsol.

Cell: 4.494 4.494 4.494 Å, 90.00 90.00 90.00°
Space group Pm-3m (No. 221)
Inequivalent atoms, fractional coordinates:
Ga1 0.000 0.000 0.000 x1
Bi1 0.500 0.500 0.500 x1
Ru1 0.000 0.000 0.500 x3

density of states at the Fermi level	4.02	states/eV per cell
DFT formation energy	1115	meV/atom

=====

Entry 13:
Here is an optimized crystal structure of GaTcBiRu2 from the Alexandria database. Energies are from PBEsol.

Cell: 4.624 4.624 4.702 Å, 90.00 90.00 90.00°
Space group P4/mmm (No. 123)
Inequivalent atoms, fractional coordinates:
Ga1 0.000 0.000 0.000 x1
Tc1 0.000 0.000 0.500 x1
Bi1 0.500 0.500 0.000 x1
Ru1 0.000 0.500 0.500 x2

density of states at the Fermi level	4.67	states/eV per cell
DFT formation energy	1061	meV/atom

=====

Entry 14:
Here is an optimized crystal structure of GaBiRu2W from the Alexandria database. Energies are from PBEsol.

Cell: 4.448 4.448 4.959 Å, 90.00 90.00 90.00°
Space group P4/mmm (No. 123)
Inequivalent atoms, fractional coordinates:
Ga1 0.000 0.000 0.000 x1
Bi1 0.000 0.000 0.500 x1
Ru1 0.000 0.500 0.000 x2
W1 0.500 0.500 0.500 x1

density of states at the Fermi level	4.45	states/eV per cell
DFT formation energy	1856	meV/atom

=====

Entry 15:
Here is an optimized crystal structure of GaBi2Sb from the Alexandria database. Energies are from PBEsol.

Cell: 6.592 6.592 13.870 Å, 90.00 90.00 90.00°
Space group I-42d (No. 122)
Inequivalent atoms, fractional coordinates:
Ga1 0.000 0.000 0.000 x4
Bi1 0.216 0.250 0.125 x8
Sb1 0.000 0.000 0.500 x4

formation energy from raw total energies	285	meV/atom
density of states at the Fermi level	11.76	states/eV per cell

=====

Entry 16:
Here is an optimized crystal structure of Ga2BiSb from the Alexandria database. Energies are from PBEsol.

Cell: 6.222 6.222 12.437 Å, 90.00 90.00 90.00°
Space group I-42d (No. 122)
Inequivalent atoms, fractional coordinates:
Ga1 0.239 0.250 0.125 x8
Bi1 0.000 0.000 0.500 x4
Sb1 0.000 0.000 0.000 x4

formation energy from raw total energies	-33	meV/atom
density of states at the Fermi level	0.89	states/eV per cell

=====

Entry 17:
Here is an optimized crystal structure of GaBi3Sb from the Alexandria database. Energies are from PBEsol.

Cell: 5.380 5.380 5.380 Å, 90.00 90.00 90.00°
Space group Pm-3m (No. 221)
Inequivalent atoms, fractional coordinates:
Ga1 0.000 0.000 0.000 x1
Bi1 0.000 0.000 0.500 x3
Sb1 0.500 0.500 0.500 x1

formation energy from raw total energies	527	meV/atom
density of states at the Fermi level	4.44	states/eV per cell

=====

Entry 18:
Here is an optimized crystal structure of GaBi2Se2 from the Alexandria database. Energies are from PBEsol.

Cell: 8.185 8.185 3.830 Å, 90.00 90.00 90.00°
Space group P4/mbm (No. 127)
Inequivalent atoms, fractional coordinates:
Ga1 0.000 0.000 0.000 x2
Bi1 0.164 0.336 0.500 x4
Se1 0.152 0.652 0.000 x4

formation energy from raw total energies	-26	meV/atom
density of states at the Fermi level	5.15	states/eV per cell

=====

Entry 19:
Here is an optimized crystal structure of Ga3BiSe from the Alexandria database. Energies are from PBEsol.

Cell: 4.990 4.990 4.990 Å, 90.00 90.00 90.00°
Space group Pm-3m (No. 221)
Inequivalent atoms, fractional coordinates:
Ga1 0.000 0.000 0.500 x3
Bi1 0.500 0.500 0.500 x1
Se1 0.000 0.000 0.000 x1

formation energy from raw total energies	295	meV/atom
density of states at the Fermi level	2.22	states/eV per cell

=====

Entry 20:
Here is an optimized crystal structure of Ga2BiSe from the Alexandria database. Energies are from PBEsol.

Cell: 7.080 7.080 7.080 Å, 90.00 90.00 90.00°
Space group Fm-3m (No. 225)
Inequivalent atoms, fractional coordinates:
Ga1 0.250 0.250 0.250 x8
Bi1 0.000 0.000 0.000 x4
Se1 0.000 0.000 0.500 x4

formation energy from raw total energies	56	meV/atom
density of states at the Fermi level	8.05	states/eV per cell